A geometry-optimized LaWI2Cl structure. Source: the Alexandria database, functional PBE.

The structure in POSCAR format:
```
LaWI2Cl
1.0
-4.6550 -2.8767 3.1198
-1.4638 -1.7231 -3.7729
3.6897 -5.0312 0.8663
I Cl W La
2 1 1 1
Direct
0.0000 0.0000 0.5000
0.5000 0.0000 0.0000
0.0000 0.0000 0.0000
0.0000 0.5000 0.0000
0.5000 0.5000 0.5000
```

## Properties
Theoretical density ... 5.82 g/cm3
Symmetry ... No. 123
Energy ... -3.98 eV/atom
Formation energy (no corrections) ... 586 meV/atom
DOS at the Fermi energy ... 1.05 states/eV/atom

=====

A geometry-optimized LaZr2ICl structure. Source: the Alexandria database, functional PBE.

The structure in POSCAR format:
```
LaZr2ICl
1.0
-0.8180 -4.1135 -2.3877
-2.7119 -2.1119 4.5674
-4.1689 1.7864 -1.6493
I Cl Zr La
1 1 2 1
Direct
0.5000 0.5000 0.5000
0.0000 0.0000 0.0000
0.0000 0.0000 0.5000
0.5000 0.0000 0.0000
0.0000 0.5000 0.0000
```

## Properties
Theoretical density ... 6.03 g/cm3
Symmetry ... No. 123
Energy ... -5.20 eV/atom
Formation energy (no corrections) ... -115 meV/atom
DOS at the Fermi energy ... 1.14 states/eV/atom

=====

A geometry-optimized LiICl6 structure. Source: the Alexandria database, functional PBE.

The structure in POSCAR format:
```
LiICl6
1.0
-5.4167 -0.1411 4.7670
-4.7768 -5.6033 0.0797
1.0985 -5.7191 3.9155
Li I Cl
1 1 6
Direct
0.5000 0.0000 0.0000
0.0000 0.0000 0.0000
0.2592 0.8486 0.2898
0.2592 0.1384 0.7102
0.7408 0.8616 0.2898
0.7408 0.1514 0.7102
0.1932 0.6114 0.0000
0.8068 0.3886 0.0000
```

## Properties
Theoretical density ... 2.11 g/cm3
Symmetry ... No. 12
Energy ... -2.33 eV/atom
Formation energy (no corrections) ... -510 meV/atom
DOS at the Fermi energy ... 0.00 states/eV/atom

=====

A geometry-optimized LiICl structure. Source: the Alexandria database, functional PBE.

The structure in POSCAR format:
```
LiICl
1.0
4.4517 -0.7402 -0.3785
1.0196 5.8468 0.5592
0.8866 2.1094 6.3030
Cl Li I
2 2 2
Direct
0.2500 0.2072 0.2838
0.7500 0.7928 0.7162
0.7500 0.0157 0.2946
0.2500 0.9843 0.7054
0.2500 0.7254 0.2333
0.7500 0.2746 0.7667
```

## Properties
Theoretical density ... 3.42 g/cm3
Symmetry ... No. 11
Energy ... -2.68 eV/atom
Formation energy (no corrections) ... -906 meV/atom
DOS at the Fermi energy ... 0.45 states/eV/atom